! PmPt2 (GGA-PBE, optimized geometry); values from VASP
&SYSTEM
  ibrav = 0, nat = 3, ntyp = 2
/
ATOMIC_SPECIES
Pt 195.08 Pt.upf
Pm 145.00 Pm.upf
ATOMIC_POSITIONS crystal
Pt 0.828 0.828 0.658
Pm 0.500 0.500 0.000
Pt 0.172 0.172 0.342
CELL_PARAMETERS angstrom
-2.304 2.029 -1.999
1.273 -1.569 -3.056
-2.670 -3.506 2.900
! Spin magnetization ... 0.00 μB per formula unit
! SG ... C2/m (12)
! Formation enthalpy at 0 K ... -0.766 eV/atom
! Offset from the most stable computed form ... 316 meV/atom
! Electronic total energy ... -6.376 eV/atom